The following is a DFT calculation (PBE) of an optimized crystal structure of YCuGe2.

Cell and atoms, written as extended XYZ:
```
8
Lattice="-3.026 -0.476 3.446 -0.902 -4.304 -1.386 4.022 -5.212 5.898" Properties=species:S:1:pos:R:3 pbc="T T T"
Y -0.485 -4.039 5.187
Y 0.000 0.000 0.000
Ge -0.324 -7.627 6.375
Ge -0.672 -2.087 3.083
Ge 1.446 -6.166 5.046
Ge -0.263 -4.104 1.410
Cu -1.964 -2.390 1.030
Cu 0.578 -5.953 2.771
```

DFT total energy in eV per atom: -5.18
SG: No. 122
Calculated volume in Å³ per atom: 21.83
Calculated formation energy in eV/atom: -0.226

---

The following is a DFT calculation (PBE) of an optimized crystal structure of SrTi2HBr.

Cell and atoms, written as extended XYZ:
```
5
Lattice="4.696 0.000 0.000 0.000 6.228 0.000 0.000 0.000 4.696" Properties=species:S:1:pos:R:3 pbc="T T T"
Ti 2.348 0.000 0.000
Ti 0.000 0.000 2.348
H 2.348 3.114 2.348
Br 0.000 0.000 0.000
Sr 0.000 3.114 0.000
```

DFT total energy in eV per atom: -3.68
SG: No. 123
Calculated volume in Å³ per atom: 27.47

---

The following is a DFT calculation (PBE) of an optimized crystal structure of SrCdRu2.

Cell and atoms, written as extended XYZ:
```
4
Lattice="10.203 -0.004 -0.002 9.765 2.957 -0.002 9.765 1.444 2.581" Properties=species:S:1:pos:R:3 pbc="T T T"
Ru 7.782 1.151 0.674
Ru 29.507 4.365 2.557
Sr 15.093 2.233 1.308
Cd 21.947 3.247 1.902
```

DFT total energy in eV per atom: -4.61
SG: No. 160
Calculated volume in Å³ per atom: 19.51
Calculated formation energy in eV/atom: 0.674

---

The following is a DFT calculation (PBE) of an optimized crystal structure of K2TaSb.

Cell and atoms, written as extended XYZ:
```
4
Lattice="6.127 0.010 0.041 -2.533 6.270 0.009 1.061 0.717 2.944" Properties=species:S:1:pos:R:3 pbc="T T T"
K 0.000 0.000 0.000
K 3.594 0.364 1.492
Ta 1.797 3.140 0.025
Sb -0.736 3.494 1.477
```

DFT total energy in eV per atom: -3.77
Uncorrected formation energy in eV/atom: 0.77
SG: No. 12
Calculated volume in Å³ per atom: 28.19

---

The following is a DFT calculation (PBE) of an optimized crystal structure of UTcNiSn.

Cell and atoms, written as extended XYZ:
```
4
Lattice="4.670 0.000 0.000 2.335 4.044 0.000 2.335 1.348 3.813" Properties=species:S:1:pos:R:3 pbc="T T T"
U 0.000 0.000 0.000
Ni 7.005 4.044 2.860
Tc 2.335 1.348 0.953
Sn 4.670 2.696 1.907
```

DFT total energy in eV per atom: -7.88
SG: No. 216
Calculated volume in Å³ per atom: 18.01
Calculated formation energy in eV/atom: -0.019

---

The following is a DFT calculation (PBE) of an optimized crystal structure of LiGe.

Cell and atoms, written as extended XYZ:
```
16
Lattice="7.545 -0.021 0.000 -5.344 5.326 0.000 -1.100 -2.653 6.977" Properties=species:S:1:pos:R:3 pbc="T T T"
Li 1.181 3.883 1.504
Li 2.830 1.645 3.091
Li 2.958 -0.937 4.993
Li -1.652 4.085 1.984
Li -1.837 -0.502 6.580
Li 2.042 0.998 0.397
Li -1.936 0.512 3.886
Li 0.814 0.926 5.473
Ge 0.004 -1.640 4.858
Ge -1.377 2.209 6.345
Ge -3.777 1.650 5.607
Ge -0.064 1.497 2.119
Ge 1.235 -0.596 2.856
Ge 3.637 3.238 0.632
Ge -0.195 3.106 4.121
Ge 4.936 1.145 1.370
```

DFT total energy in eV per atom: -3.55
SG: No. 88
Calculated volume in Å³ per atom: 17.47
Calculated formation energy in eV/atom: -0.281

---

The following is a DFT calculation (PBE) of an optimized crystal structure of ZrTi2NbN.

Cell and atoms, written as extended XYZ:
```
5
Lattice="4.198 0.000 0.000 0.000 4.198 0.000 0.000 0.000 4.467" Properties=species:S:1:pos:R:3 pbc="T T T"
Zr 2.099 2.099 2.234
Ti 0.000 2.099 0.000
Ti 2.099 0.000 0.000
Nb 0.000 0.000 2.234
N 0.000 0.000 0.000
```

DFT total energy in eV per atom: -9.20
Uncorrected formation energy in eV/atom: -0.65
SG: No. 123
Calculated volume in Å³ per atom: 15.75

---

The following is a DFT calculation (PBE) of an optimized crystal structure of PrZrNi2.

Cell and atoms, written as extended XYZ:
```
4
Lattice="3.317 0.000 0.000 0.000 3.317 0.000 0.000 0.000 6.972" Properties=species:S:1:pos:R:3 pbc="T T T"
Zr 1.659 1.659 0.000
Ni 0.000 0.000 5.612
Ni 0.000 0.000 1.360
Pr 1.659 1.659 3.486
```

DFT total energy in eV per atom: -6.51
SG: No. 123
Calculated volume in Å³ per atom: 19.18
Calculated formation energy in eV/atom: -0.287